Entry from the Alexandria database: a geometry-optimized CsBaZr2Mn structure (PBEsol).

Lattice parameters (Å, degrees): 4.852 4.852 6.551 90.00 90.00 90.00
Space group P4/mmm (No. 123)
One atom of each set of equivalent atoms:
Cs (0.000, 0.000, 0.000) [1 per cell]
Ba (0.500, 0.500, 0.000) [1 per cell]
Zr (0.000, 0.500, 0.500) [2 per cell]
Mn (0.500, 0.500, 0.500) [1 per cell]

Output
The value obtained for the energy relative to the elements is 0.749 eV/atom. The magnetic moment is 0.1 μB/f.u. The total energy comes out at -5.458 eV per atom. The calculation puts the mass density at 5.5 g cm⁻³.